RbLi2Sb2Au2: relaxed, PBE-GGA.

Results
Density, g cm⁻³: 6.74
Total energy, eV per atom: -3.331
Crystal system: trigonal
Uncorrected formation energy, eV per atom: -0.53
Space group: R-3m (166)

abc: 10.1293 10.1293 10.1293
angles: 26.42 26.42 26.42
Last column: nearest neighbours and their distance in Å.
Sites, in units of the cell vectors:
Rb  0.0000  0.0000  0.0000  6 Sb 3.79, 2 Li 4.18
Li  0.1425  0.1425  0.1425  3 Au 2.81, 4 Sb 2.91-3.06, 3 Li 3.02
Li  0.8575  0.8575  0.8575  3 Au 2.81, 4 Sb 2.91-3.06, 3 Li 3.02
Sb  0.2419  0.2419  0.2419  3 Au 2.74, 4 Li 2.91-3.06
Sb  0.7581  0.7581  0.7581  3 Au 2.74, 4 Li 2.91-3.06
Au  0.4459  0.4459  0.4459  3 Sb 2.74, 3 Li 2.81
Au  0.5541  0.5541  0.5541  3 Sb 2.74, 3 Li 2.81